A plane-wave DFT calculation with PBE-GGA was carried out for a relaxed structure of Nd2EuTh.

Unit cell a=8.271 b=8.271 c=8.271 alpha=90.00 beta=90.00 gamma=90.00
Element x y z (fractional)
Nd (0.250, 0.250, 0.250)
Nd (0.250, 0.250, 0.750)
Nd (0.250, 0.750, 0.250)
Nd (0.250, 0.750, 0.750)
Nd (0.750, 0.250, 0.250)
Nd (0.750, 0.250, 0.750)
Nd (0.750, 0.750, 0.250)
Nd (0.750, 0.750, 0.750)
Eu (0.000, 0.000, 0.000)
Eu (0.000, 0.500, 0.500)
Eu (0.500, 0.000, 0.500)
Eu (0.500, 0.500, 0.000)
Th (0.000, 0.000, 0.500)
Th (0.000, 0.500, 0.000)
Th (0.500, 0.000, 0.000)
Th (0.500, 0.500, 0.500)

Computed properties:
The value obtained for the formation energy is 0.23 eV per atom. Its space group is No. 225. As for the density of states at the Fermi level: 9.3 states/eV/f.u. As for the uncorrected energy: -105.31 eV/cell.


A plane-wave DFT calculation with PBE-GGA was carried out for a relaxed structure of NdEuTh2.

Unit cell a=5.067 b=5.067 c=5.268 alpha=90.00 beta=90.00 gamma=90.00
Element x y z (fractional)
Nd (0.000, 0.000, 0.000)
Eu (0.500, 0.500, 0.000)
Th (0.000, 0.500, 0.500)
Th (0.500, 0.000, 0.500)

Computed properties:
The value obtained for the formation energy is 0.16 eV per atom. Its space group is No. 123. As for the density of states at the Fermi level: 5.7 states/eV/f.u. As for the uncorrected energy: -29.24 eV/cell.


A plane-wave DFT calculation with PBE-GGA was carried out for a relaxed structure of Nd2EuTh.

Unit cell a=5.204 b=5.204 c=5.143 alpha=90.00 beta=90.00 gamma=90.00
Element x y z (fractional)
Nd (0.000, 0.500, 0.000)
Nd (0.500, 0.000, 0.000)
Eu (0.000, 0.000, 0.500)
Th (0.500, 0.500, 0.500)

Computed properties:
The value obtained for the formation energy is 0.13 eV per atom. Its space group is No. 123. As for the density of states at the Fermi level: 5.4 states/eV/f.u. As for the uncorrected energy: -26.73 eV/cell.


A plane-wave DFT calculation with PBE-GGA was carried out for a relaxed structure of NdEuTl.

Unit cell a=3.884 b=3.884 c=13.295 alpha=90.00 beta=90.00 gamma=90.00
Element x y z (fractional)
Nd (0.000, 0.000, 0.000)
Nd (0.500, 0.500, 0.500)
Eu (0.000, 0.000, 0.300)
Eu (0.500, 0.500, 0.800)
Tl (0.000, 0.000, 0.645)
Tl (0.500, 0.500, 0.145)

Computed properties:
The value obtained for the formation energy is -0.23 eV per atom. Its space group is No. 107. As for the density of states at the Fermi level: 3.6 states/eV/f.u. As for the uncorrected energy: -36.17 eV/cell.


A plane-wave DFT calculation with PBE-GGA was carried out for a relaxed structure of NdEuTl.

Unit cell a=5.443 b=5.443 c=3.802 alpha=90.00 beta=90.00 gamma=120.00
Element x y z (fractional)
Nd (0.000, 0.000, 0.000)
Eu (0.333, 0.667, 0.577)
Tl (0.667, 0.333, 0.229)

Computed properties:
The value obtained for the formation energy is -0.18 eV per atom. Its space group is No. 156. As for the density of states at the Fermi level: 2.4 states/eV/f.u. As for the uncorrected energy: -17.96 eV/cell.


A plane-wave DFT calculation with PBE-GGA was carried out for a relaxed structure of NdEuTl2.

Unit cell a=3.878 b=3.878 c=30.275 alpha=90.00 beta=90.00 gamma=120.00
Element x y z (fractional)
Nd (0.000, 0.000, 0.000)
Nd (0.333, 0.667, 0.667)
Nd (0.667, 0.333, 0.333)
Eu (0.000, 0.000, 0.500)
Eu (0.333, 0.667, 0.167)
Eu (0.667, 0.333, 0.833)
Tl (0.000, 0.000, 0.251)
Tl (0.000, 0.000, 0.749)
Tl (0.333, 0.667, 0.416)
Tl (0.333, 0.667, 0.918)
Tl (0.667, 0.333, 0.082)
Tl (0.667, 0.333, 0.584)

Computed properties:
The value obtained for the formation energy is -0.26 eV per atom. Its space group is No. 166. As for the density of states at the Fermi level: 10.7 states/eV/f.u. As for the uncorrected energy: -62.50 eV/cell.


A plane-wave DFT calculation with PBE-GGA was carried out for a relaxed structure of NdEuTl.

Unit cell a=7.671 b=7.671 c=7.671 alpha=90.00 beta=90.00 gamma=90.00
Element x y z (fractional)
Nd (0.000, 0.000, 0.000)
Nd (0.000, 0.500, 0.500)
Nd (0.500, 0.000, 0.500)
Nd (0.500, 0.500, 0.000)
Eu (0.000, 0.000, 0.500)
Eu (0.000, 0.500, 0.000)
Eu (0.500, 0.000, 0.000)
Eu (0.500, 0.500, 0.500)
Tl (0.250, 0.250, 0.750)
Tl (0.250, 0.750, 0.250)
Tl (0.750, 0.250, 0.250)
Tl (0.750, 0.750, 0.750)

Computed properties:
The value obtained for the formation energy is -0.10 eV per atom. Its space group is No. 216. As for the density of states at the Fermi level: 8.8 states/eV/f.u. As for the uncorrected energy: -70.78 eV/cell.


A plane-wave DFT calculation with PBE-GGA was carried out for a relaxed structure of NdEuTl2.

Unit cell a=3.937 b=3.937 c=7.923 alpha=90.00 beta=90.00 gamma=90.00
Element x y z (fractional)
Nd (0.000, 0.000, 0.000)
Eu (0.000, 0.000, 0.500)
Tl (0.500, 0.500, 0.243)
Tl (0.500, 0.500, 0.757)

Computed properties:
The value obtained for the formation energy is -0.41 eV per atom. Its space group is No. 123. As for the density of states at the Fermi level: 9.5 states/eV/f.u. As for the uncorrected energy: -21.41 eV/cell.


A plane-wave DFT calculation with PBE-GGA was carried out for a relaxed structure of NdEuTl2.

Unit cell a=7.879 b=7.879 c=7.879 alpha=90.00 beta=90.00 gamma=90.00
Element x y z (fractional)
Nd (0.000, 0.000, 0.000)
Nd (0.000, 0.500, 0.500)
Nd (0.500, 0.000, 0.500)
Nd (0.500, 0.500, 0.000)
Eu (0.000, 0.000, 0.500)
Eu (0.000, 0.500, 0.000)
Eu (0.500, 0.000, 0.000)
Eu (0.500, 0.500, 0.500)
Tl (0.250, 0.250, 0.250)
Tl (0.250, 0.250, 0.750)
Tl (0.250, 0.750, 0.250)
Tl (0.250, 0.750, 0.750)
Tl (0.750, 0.250, 0.250)
Tl (0.750, 0.250, 0.750)
Tl (0.750, 0.750, 0.250)
Tl (0.750, 0.750, 0.750)

Computed properties:
The value obtained for the formation energy is -0.38 eV per atom. Its space group is No. 225. As for the density of states at the Fermi level: 11.0 states/eV/f.u. As for the uncorrected energy: -85.24 eV/cell.


A plane-wave DFT calculation with PBE-GGA was carried out for a relaxed structure of NdEuTmTl.

Unit cell a=7.874 b=7.874 c=7.874 alpha=90.00 beta=90.00 gamma=90.00
Element x y z (fractional)
Nd (0.000, 0.000, 0.000)
Nd (0.000, 0.500, 0.500)
Nd (0.500, 0.000, 0.500)
Nd (0.500, 0.500, 0.000)
Eu (0.250, 0.250, 0.750)
Eu (0.250, 0.750, 0.250)
Eu (0.750, 0.250, 0.250)
Eu (0.750, 0.750, 0.750)
Tm (0.000, 0.000, 0.500)
Tm (0.000, 0.500, 0.000)
Tm (0.500, 0.000, 0.000)
Tm (0.500, 0.500, 0.500)
Tl (0.250, 0.250, 0.250)
Tl (0.250, 0.750, 0.750)
Tl (0.750, 0.250, 0.750)
Tl (0.750, 0.750, 0.250)

Computed properties:
The value obtained for the formation energy is -0.03 eV per atom. Its space group is No. 216. As for the density of states at the Fermi level: 6.4 states/eV/f.u. As for the uncorrected energy: -88.01 eV/cell.


A plane-wave DFT calculation with PBE-GGA was carried out for a relaxed structure of NdEuYTl.

Unit cell a=7.915 b=7.915 c=7.915 alpha=90.00 beta=90.00 gamma=90.00
Element x y z (fractional)
Nd (0.000, 0.000, 0.000)
Nd (0.000, 0.500, 0.500)
Nd (0.500, 0.000, 0.500)
Nd (0.500, 0.500, 0.000)
Eu (0.250, 0.250, 0.750)
Eu (0.250, 0.750, 0.250)
Eu (0.750, 0.250, 0.250)
Eu (0.750, 0.750, 0.750)
Y (0.000, 0.000, 0.500)
Y (0.000, 0.500, 0.000)
Y (0.500, 0.000, 0.000)
Y (0.500, 0.500, 0.500)
Tl (0.250, 0.250, 0.250)
Tl (0.250, 0.750, 0.750)
Tl (0.750, 0.250, 0.750)
Tl (0.750, 0.750, 0.250)

Computed properties:
The value obtained for the formation energy is -0.07 eV per atom. Its space group is No. 216. As for the density of states at the Fermi level: 6.4 states/eV/f.u. As for the uncorrected energy: -96.55 eV/cell.


A plane-wave DFT calculation with PBE-GGA was carried out for a relaxed structure of NdEuTlZn.

Unit cell a=7.691 b=7.691 c=7.691 alpha=90.00 beta=90.00 gamma=90.00
Element x y z (fractional)
Nd (0.000, 0.000, 0.000)
Nd (0.000, 0.500, 0.500)
Nd (0.500, 0.000, 0.500)
Nd (0.500, 0.500, 0.000)
Eu (0.000, 0.000, 0.500)
Eu (0.000, 0.500, 0.000)
Eu (0.500, 0.000, 0.000)
Eu (0.500, 0.500, 0.500)
Tl (0.250, 0.250, 0.750)
Tl (0.250, 0.750, 0.250)
Tl (0.750, 0.250, 0.250)
Tl (0.750, 0.750, 0.750)
Zn (0.250, 0.250, 0.250)
Zn (0.250, 0.750, 0.750)
Zn (0.750, 0.250, 0.750)
Zn (0.750, 0.750, 0.250)

Computed properties:
The value obtained for the formation energy is -0.32 eV per atom. Its space group is No. 216. As for the density of states at the Fermi level: 8.0 states/eV/f.u. As for the uncorrected energy: -79.92 eV/cell.


A plane-wave DFT calculation with PBE-GGA was carried out for a relaxed structure of NdEuTm2.

Unit cell a=5.824 b=5.824 c=3.957 alpha=90.00 beta=90.00 gamma=90.00
Element x y z (fractional)
Nd (0.000, 0.000, 0.000)
Eu (0.500, 0.500, 0.000)
Tm (0.000, 0.500, 0.500)
Tm (0.500, 0.000, 0.500)

Computed properties:
The value obtained for the formation energy is 0.14 eV per atom. Its space group is No. 123. As for the density of states at the Fermi level: 7.1 states/eV/f.u. As for the uncorrected energy: -23.42 eV/cell.


A plane-wave DFT calculation with PBE-GGA was carried out for a relaxed structure of NdEuTm2.

Unit cell a=8.124 b=8.124 c=8.124 alpha=90.00 beta=90.00 gamma=90.00
Element x y z (fractional)
Nd (0.000, 0.000, 0.000)
Nd (0.000, 0.500, 0.500)
Nd (0.500, 0.000, 0.500)
Nd (0.500, 0.500, 0.000)
Eu (0.000, 0.000, 0.500)
Eu (0.000, 0.500, 0.000)
Eu (0.500, 0.000, 0.000)
Eu (0.500, 0.500, 0.500)
Tm (0.250, 0.250, 0.250)
Tm (0.250, 0.250, 0.750)
Tm (0.250, 0.750, 0.250)
Tm (0.250, 0.750, 0.750)
Tm (0.750, 0.250, 0.250)
Tm (0.750, 0.250, 0.750)
Tm (0.750, 0.750, 0.250)
Tm (0.750, 0.750, 0.750)

Computed properties:
The value obtained for the formation energy is 0.14 eV per atom. Its space group is No. 225. As for the density of states at the Fermi level: 6.2 states/eV/f.u. As for the uncorrected energy: -93.69 eV/cell.


A plane-wave DFT calculation with PBE-GGA was carried out for a relaxed structure of NdEuTm.

Unit cell a=3.663 b=3.663 c=9.000 alpha=90.00 beta=90.00 gamma=120.00
Element x y z (fractional)
Nd (0.000, 0.000, 0.000)
Eu (0.333, 0.667, 0.647)
Tm (0.667, 0.333, 0.311)

Computed properties:
The value obtained for the formation energy is 0.05 eV per atom. Its space group is No. 156. As for the density of states at the Fermi level: 3.7 states/eV/f.u. As for the uncorrected energy: -19.36 eV/cell.


A plane-wave DFT calculation with PBE-GGA was carried out for a relaxed structure of NdEuTm.

Unit cell a=3.685 b=3.685 c=15.472 alpha=90.00 beta=90.00 gamma=90.00
Element x y z (fractional)
Nd (0.000, 0.000, 0.000)
Nd (0.500, 0.500, 0.500)
Eu (0.000, 0.000, 0.322)
Eu (0.500, 0.500, 0.822)
Tm (0.000, 0.000, 0.651)
Tm (0.500, 0.500, 0.151)

Computed properties:
The value obtained for the formation energy is 0.05 eV per atom. Its space group is No. 107. As for the density of states at the Fermi level: 3.7 states/eV/f.u. As for the uncorrected energy: -38.71 eV/cell.


A plane-wave DFT calculation with PBE-GGA was carried out for a relaxed structure of NdEuTm4.

Unit cell a=6.662 b=6.662 c=6.662 alpha=60.00 beta=60.00 gamma=60.00
Element x y z (fractional)
Nd (0.000, 0.000, 0.000)
Eu (0.750, 0.750, 0.750)
Tm (0.374, 0.374, 0.374)
Tm (0.374, 0.374, 0.878)
Tm (0.374, 0.878, 0.374)
Tm (0.878, 0.374, 0.374)

Computed properties:
The value obtained for the formation energy is 0.26 eV per atom. Its space group is No. 216. As for the density of states at the Fermi level: 9.1 states/eV/f.u. As for the uncorrected energy: -31.36 eV/cell.


A plane-wave DFT calculation with PBE-GGA was carried out for a relaxed structure of NdEuTm2.

Unit cell a=3.645 b=3.645 c=10.156 alpha=90.00 beta=90.00 gamma=90.00
Element x y z (fractional)
Nd (0.000, 0.000, 0.000)
Eu (0.000, 0.000, 0.500)
Tm (0.500, 0.500, 0.238)
Tm (0.500, 0.500, 0.762)

Computed properties:
The value obtained for the formation energy is 0.07 eV per atom. Its space group is No. 123. As for the density of states at the Fermi level: 5.8 states/eV/f.u. As for the uncorrected energy: -23.69 eV/cell.


A plane-wave DFT calculation with PBE-GGA was carried out for a relaxed structure of NdEuYTm.

Unit cell a=8.185 b=8.185 c=8.185 alpha=90.00 beta=90.00 gamma=90.00
Element x y z (fractional)
Nd (0.000, 0.000, 0.000)
Nd (0.000, 0.500, 0.500)
Nd (0.500, 0.000, 0.500)
Nd (0.500, 0.500, 0.000)
Eu (0.250, 0.250, 0.250)
Eu (0.250, 0.750, 0.750)
Eu (0.750, 0.250, 0.750)
Eu (0.750, 0.750, 0.250)
Y (0.000, 0.000, 0.500)
Y (0.000, 0.500, 0.000)
Y (0.500, 0.000, 0.000)
Y (0.500, 0.500, 0.500)
Tm (0.250, 0.250, 0.750)
Tm (0.250, 0.750, 0.250)
Tm (0.750, 0.250, 0.250)
Tm (0.750, 0.750, 0.750)

Computed properties:
The value obtained for the formation energy is 0.15 eV per atom. Its space group is No. 216. As for the density of states at the Fermi level: 6.9 states/eV/f.u. As for the uncorrected energy: -101.56 eV/cell.


A plane-wave DFT calculation with PBE-GGA was carried out for a relaxed structure of NdEuY2.

Unit cell a=8.226 b=8.226 c=8.226 alpha=90.00 beta=90.00 gamma=90.00
Element x y z (fractional)
Nd (0.000, 0.000, 0.000)
Nd (0.000, 0.500, 0.500)
Nd (0.500, 0.000, 0.500)
Nd (0.500, 0.500, 0.000)
Eu (0.000, 0.000, 0.500)
Eu (0.000, 0.500, 0.000)
Eu (0.500, 0.000, 0.000)
Eu (0.500, 0.500, 0.500)
Y (0.250, 0.250, 0.250)
Y (0.250, 0.250, 0.750)
Y (0.250, 0.750, 0.250)
Y (0.250, 0.750, 0.750)
Y (0.750, 0.250, 0.250)
Y (0.750, 0.250, 0.750)
Y (0.750, 0.750, 0.250)
Y (0.750, 0.750, 0.750)

Computed properties:
The value obtained for the formation energy is 0.14 eV per atom. Its space group is No. 225. As for the density of states at the Fermi level: 7.1 states/eV/f.u. As for the uncorrected energy: -109.66 eV/cell.